1.
Computed, not measured: a relaxed MnCrGeO6 crystal at the PBE+U level of DFT.

Summary:
- magnetization (μB per formula unit) = 5.00

Geometry as CIF:
```
data_MnCrGeO6
_chemical_formula_sum 'Mn2 Cr2 Ge2 O12'
_cell_length_a 4.472
_cell_length_b 4.472
_cell_length_c 8.859
_cell_angle_alpha 90.00
_cell_angle_beta 90.00
_cell_angle_gamma 90.00
_symmetry_space_group_name_H-M 'P 42 n m'
_symmetry_Int_Tables_number 102
loop_
_symmetry_equiv_pos_as_xyz
'x,y,z'
'-y+1/2,x+1/2,z+1/2'
'-x,-y,z'
'y+1/2,-x+1/2,z+1/2'
'-x+1/2,y+1/2,z+1/2'
'y,x,z'
'x+1/2,-y+1/2,z+1/2'
'-y,-x,z'
loop_
_atom_site_label
_atom_site_fract_x
_atom_site_fract_y
_atom_site_fract_z
Mn1 0.000 0.000 0.000
Cr1 0.000 0.000 0.668
Ge1 0.000 0.000 0.336
O1 0.194 0.194 0.170
O2 0.195 0.195 0.499
O3 0.197 0.197 0.835
```

2.
Computed, not measured: a relaxed MnCr2GeO6 crystal at the PBE+U level of DFT.

Summary:
- magnetization (μB per formula unit) = 7.00

Geometry as CIF:
```
data_MnCr2GeO6
_chemical_formula_sum 'Mn1 Cr2 Ge1 O6'
_cell_length_a 5.067
_cell_length_b 5.077
_cell_length_c 5.453
_cell_angle_alpha 90.14
_cell_angle_beta 117.60
_cell_angle_gamma 119.79
_symmetry_space_group_name_H-M 'P 1'
_symmetry_Int_Tables_number 1
loop_
_symmetry_equiv_pos_as_xyz
'x,y,z'
loop_
_atom_site_label
_atom_site_fract_x
_atom_site_fract_y
_atom_site_fract_z
Mn1 0.000 0.000 0.000
Cr1 0.405 0.202 0.602
Cr2 0.408 0.703 0.105
Ge1 0.009 0.505 0.509
O1 0.203 0.786 0.321
O2 0.212 0.899 0.801
O3 0.488 0.592 0.798
O4 0.541 0.421 0.320
O5 0.908 0.123 0.320
O6 0.908 0.315 0.799
```

Number 1: energy -62.8 eV/f.u.. Number 2: energy -72.3 eV/f.u..